(1)
A relaxed Ca2InP2Rh5 crystal. Source: Alexandria, functional GGA-PBE.

Magnetization ... 0.00 μB per formula unit
Total DFT energy (no corrections) ... -6.23 eV per atom
DOS(E_F) ... 6.35 states/eV per cell

a b c (Å): 9.8751 9.8751 3.4254
angles (deg): 90.00 90.00 90.00
With the nearest neighbours (Å) after each atom.
Space group P4/mbm (No. 127)
Inequivalent atoms, fractional coordinates:
1 Ca 0.1743 0.3257 0.0000  3 P 2.82-2.99, 10 Rh 2.98-3.14
2 In 0.0000 0.0000 0.0000  8 Rh 2.86
3 P 0.1239 0.6239 0.0000  6 Rh 2.35-2.43
4 Rh 0.0000 0.5000 0.5000  4 P 2.43
5 Rh 0.0707 0.7786 0.5000  2 P 2.35

=====

(2)
A relaxed CePrTlHg crystal. Source: Alexandria, functional GGA-PBE.

Magnetization ... 2.06 μB per formula unit
Total DFT energy (no corrections) ... -3.68 eV per atom
DOS(E_F) ... 39.56 states/eV per cell
Distance to the lowest polymorph of the same formula ... 7 meV/atom

a b c (Å): 7.7829 7.7829 7.7829
angles (deg): 90.00 90.00 90.00
With the nearest neighbours (Å) after each atom.
Space group F-43m (No. 216)
Inequivalent atoms, fractional coordinates:
1 Ce 0.0000 0.0000 0.0000  4 Hg 3.37, 4 Tl 3.37
2 Pr 0.0000 0.0000 0.5000  4 Hg 3.37, 4 Tl 3.37
3 Tl 0.2500 0.2500 0.2500  4 Ce 3.37, 4 Pr 3.37
4 Hg 0.2500 0.2500 0.7500  4 Ce 3.37, 4 Pr 3.37

=====

(3)
A relaxed TlAg2PbCl6 crystal. Source: Alexandria, functional GGA-PBE.

Magnetization ... 0.00 μB per formula unit
Total DFT energy (no corrections) ... -3.01 eV per atom
Uncorrected formation energy ... -0.724 eV/atom
DOS(E_F) ... 23.23 states/eV per cell

a b c (Å): 14.1196 12.0188 7.1271
angles (deg): 90.00 90.73 90.00
With the nearest neighbours (Å) after each atom.
Space group C2/c (No. 15)
Inequivalent atoms, fractional coordinates:
1 Tl 0.0000 0.1524 0.2500  8 Cl 3.23-3.51
2 Ag 0.2442 0.1036 0.6635  5 Cl 2.51-2.77
3 Pb 0.0000 0.4192 0.7500  6 Cl 2.85-2.94
4 Cl 0.1077 0.3934 0.0943  1 Ag 2.70, 2 Pb 2.89-2.94
5 Cl 0.1427 0.2930 0.5680  2 Ag 2.62-2.77, 1 Pb 2.85
6 Cl 0.1496 0.0233 0.9259  2 Ag 2.51-2.63

=====

(4)
A relaxed Mg2Te crystal. Source: Alexandria, functional GGA-PBE.

Magnetization ... 0.00 μB per formula unit
Total DFT energy (no corrections) ... -2.47 eV per atom
Uncorrected formation energy ... -0.363 eV/atom
DOS(E_F) ... 0.54 states/eV per cell

a b c (Å): 4.0906 4.0906 5.8898
angles (deg): 90.00 90.00 120.00
With the nearest neighbours (Å) after each atom.
Space group P-3m1 (No. 164)
Inequivalent atoms, fractional coordinates:
1 Mg 0.3333 0.6667 0.2032  3 Te 2.94
2 Te 0.0000 0.0000 0.5000  6 Mg 2.94